Below is a geometry-optimized LaTiCr2Te structure, with properties calculated at the GGA-PBE level.

Unit cell a=4.7486 b=4.7486 c=5.2870 alpha=90.00 beta=90.00 gamma=90.00
Element x y z (fractional)
La 0.0000 0.0000 0.0000
Ti 0.5000 0.5000 0.5000
Cr 0.0000 0.5000 0.5000
Cr 0.5000 0.0000 0.5000
Te 0.5000 0.5000 0.0000

- total magnetization (μB per atom) = 1.309
- uncorrected formation energy (eV per formula unit) = 1.88